No. 1
An optimized crystal structure of NdTm2Fe9. Source: Alexandria, functional PBE-GGA.

Unit cell a=5.1004 b=5.1004 c=8.5647 alpha=72.68 beta=72.68 gamma=60.00
With the nearest neighbours (Å) after each atom.
Fractional positions:
Nd 0.0000 0.0000 0.0000  18 Fe 2.94-3.25
Tm 0.8576 0.8576 0.4272  12 Fe 2.92-3.00, 3 Tm 3.17
Tm 0.1424 0.1424 0.5728  12 Fe 2.92-3.00, 3 Tm 3.17
Fe 0.6673 0.6673 0.9982  6 Fe 2.48-2.50
Fe 0.3327 0.3327 0.0018  6 Fe 2.48-2.50
Fe 0.5000 0.5000 0.5000  6 Fe 2.49
Fe 0.4168 0.4168 0.2497  7 Fe 2.48-2.55
Fe 0.9168 0.4168 0.2497  7 Fe 2.48-2.55
Fe 0.4168 0.9168 0.2497  7 Fe 2.48-2.55
Fe 0.5832 0.5832 0.7503  7 Fe 2.48-2.55
Fe 0.5832 0.0832 0.7503  7 Fe 2.48-2.55
Fe 0.0832 0.5832 0.7503  7 Fe 2.48-2.55

Output
- Total moment: 16.6 Bohr magnetons per cell

No. 2
An optimized crystal structure of NdUFe. Source: Alexandria, functional PBE-GGA.

Unit cell a=3.4879 b=3.4879 c=6.3095 alpha=90.00 beta=90.00 gamma=120.00
With the nearest neighbours (Å) after each atom.
Fractional positions:
Nd 0.0000 0.0000 0.9712  3 Fe 3.00
U 0.6667 0.3333 0.4104  3 Fe 2.40
Fe 0.3333 0.6667 0.6183  3 U 2.40

Output
- Polymorph energy (0 for the lowest one): 0.0 kJ/mol of formula units
- Total moment: 0.0 Bohr magnetons per cell

No. 3
An optimized crystal structure of NdUFe2. Source: Alexandria, functional PBE-GGA.

Unit cell a=4.3730 b=7.4654 c=9.6206 alpha=90.00 beta=90.00 gamma=90.00
With the nearest neighbours (Å) after each atom.
Fractional positions:
Nd 0.7500 0.5964 0.3768  9 Fe 3.02-3.30, 2 U 3.38
Nd 0.7500 0.0964 0.1232  9 Fe 3.02-3.30, 2 U 3.38
Nd 0.2500 0.4036 0.6232  9 Fe 3.02-3.30, 2 U 3.38
Nd 0.2500 0.9036 0.8768  9 Fe 3.02-3.30, 2 U 3.38
U 0.2500 0.9412 0.3761  2 Fe 2.10
U 0.7500 0.0588 0.6239  2 Fe 2.10
U 0.2500 0.4412 0.1239  2 Fe 2.10
U 0.7500 0.5588 0.8761  2 Fe 2.10
Fe 0.7500 0.6873 0.0708  1 U 2.10
Fe 0.2500 0.3127 0.9292  1 U 2.10
Fe 0.7500 0.1873 0.4292  1 U 2.10
Fe 0.2500 0.8127 0.5708  1 U 2.10
Fe 0.7500 0.2010 0.8120  1 U 2.10
Fe 0.2500 0.2990 0.3120  1 U 2.10
Fe 0.7500 0.7010 0.6880  1 U 2.10
Fe 0.2500 0.7990 0.1880  1 U 2.10

Output
- Polymorph energy (0 for the lowest one): 0.0 kJ/mol of formula units
- Total moment: 0.0 Bohr magnetons per cell

No. 4
An optimized crystal structure of NdUFe. Source: Alexandria, functional PBE-GGA.

Unit cell a=3.4266 b=4.1135 c=12.5594 alpha=112.89 beta=90.00 gamma=114.61
With the nearest neighbours (Å) after each atom.
Fractional positions:
Nd 0.5498 0.0996 0.8656  3 U 3.14-3.50, 1 Fe 3.21, 2 Nd 3.43
Nd 0.4502 0.9004 0.1344  3 U 3.14-3.50, 1 Fe 3.21, 2 Nd 3.43
U 0.6532 0.3065 0.6482  1 Fe 2.17
U 0.3468 0.6935 0.3518  1 Fe 2.17
Fe 0.3344 0.6689 0.5833  1 U 2.17
Fe 0.6656 0.3311 0.4167  1 U 2.17

Output
- Polymorph energy (0 for the lowest one): 22.6 kJ/mol of formula units
- Total moment: 2.2 Bohr magnetons per cell

No. 5
An optimized crystal structure of NdUFe2. Source: Alexandria, functional PBE-GGA.

Unit cell a=3.4072 b=3.4072 c=7.9408 alpha=77.61 beta=77.61 gamma=60.00
With the nearest neighbours (Å) after each atom.
Fractional positions:
Nd 0.5000 0.5000 0.5000  6 Fe 3.01
U 0.0000 0.0000 0.0000  6 Fe 2.52
Fe 0.7347 0.7347 0.7960  3 U 2.52
Fe 0.2653 0.2653 0.2040  3 U 2.52

Output
- Polymorph energy (0 for the lowest one): 146.8 kJ/mol of formula units
- Total moment: 0.9 Bohr magnetons per cell

No. 6
An optimized crystal structure of NdU2Fe9. Source: Alexandria, functional PBE-GGA.

Unit cell a=4.9771 b=4.9771 c=8.7264 alpha=73.40 beta=73.40 gamma=60.00
With the nearest neighbours (Å) after each atom.
Fractional positions:
Nd 0.0000 0.0000 0.0000  6 Fe 2.87
U 0.8531 0.8531 0.4411  12 Fe 2.91-2.96, 3 U 3.03
U 0.1469 0.1469 0.5589  12 Fe 2.91-2.96, 3 U 3.03
Fe 0.6667 0.6667 0.9998  6 Fe 2.50
Fe 0.3333 0.3333 0.0002  6 Fe 2.50
Fe 0.5000 0.5000 0.5000  6 Fe 2.52
Fe 0.4177 0.4177 0.2479  7 Fe 2.48-2.52
Fe 0.9164 0.4178 0.2479  7 Fe 2.48-2.52
Fe 0.4178 0.9164 0.2479  7 Fe 2.48-2.52
Fe 0.5823 0.5823 0.7521  7 Fe 2.48-2.52
Fe 0.5822 0.0836 0.7521  7 Fe 2.48-2.52
Fe 0.0836 0.5822 0.7521  7 Fe 2.48-2.52

Output
- Total moment: 12.9 Bohr magnetons per cell

| no. | energy of formation from the pure elements (eV/atom) | V (Å³/cell) |
| --- | --- | --- |
| 1 | -0.064 | 181 |
| 2 | 0.240 | 66 |
| 3 | -0.132 | 314 |
| 4 | 0.318 | 145 |
| 5 | 0.248 | 77 |
| 6 | -0.028 | 177 |